w | Computed, not measured: a geometry-optimized HfPPdS2 structure at the PBE level of DFT.

The space group is P4/mmm (No. 123) and the conventional cell measures 4.576, 4.576 and 4.671 Å, with angles of 90.00, 90.00 and 90.00 degrees. Symmetry generates all atoms from Hf at (0.000, 0.000, 0.000), P at (0.500, 0.500, 0.000), Pd at (0.500, 0.500, 0.500) and S at (0.000, 0.500, 0.500).

Its total moment is 0.00 μB/cell. The crystal system is tetragonal.

x | Computed, not measured: a geometry-optimized HfPPdS2 structure at the PBE level of DFT.

The space group is P4/mmm (No. 123) and the conventional cell measures 4.846, 4.846 and 5.067 Å, with angles of 90.00, 90.00 and 90.00 degrees. Symmetry generates all atoms from Hf at (0.000, 0.000, 0.000), P at (0.000, 0.000, 0.500), Pd at (0.500, 0.500, 0.500) and S at (0.000, 0.500, 0.000).

Its total moment is 0.00 μB/cell. The crystal system is tetragonal.

Of them, x has the highest stability.

w | Computed, not measured: a geometry-optimized HfSi2PPd structure at the PBE level of DFT.

The space group is P4/mmm (No. 123) and the conventional cell measures 5.026, 5.026 and 4.875 Å, with angles of 90.00, 90.00 and 90.00 degrees. Symmetry generates all atoms from Hf at (0.000, 0.000, 0.000), Si at (0.000, 0.500, 0.000), P at (0.500, 0.500, 0.500) and Pd at (0.000, 0.000, 0.500).

Its total moment is 0.00 μB/cell. The crystal system is tetragonal.

x | Computed, not measured: a geometry-optimized HfSi2PPd structure at the PBE level of DFT.

The space group is P4/mmm (No. 123) and the conventional cell measures 4.421, 4.421 and 4.742 Å, with angles of 90.00, 90.00 and 90.00 degrees. Symmetry generates all atoms from Hf at (0.000, 0.000, 0.000), Si at (0.000, 0.500, 0.500), P at (0.000, 0.000, 0.500) and Pd at (0.500, 0.500, 0.000).

Its total moment is 0.00 μB/cell. The crystal system is tetragonal.

Of them, x has the highest stability.

w | Computed, not measured: a geometry-optimized PmHfP2 structure at the PBE level of DFT.

The space group is R3m (No. 160, hexagonal axes) and the conventional cell measures 3.8189, 3.8189 and 20.2312 Å, with angles of 90.00, 90.00 and 120.00 degrees. Symmetry generates all atoms from Pm at (0.0000, 0.0000, 0.0000), Hf at (0.0000, 0.0000, 0.1739), P at (0.0000, 0.0000, 0.5774) and P at (0.0000, 0.0000, 0.7642).

Its total moment is 0.00 μB/cell. The crystal system is trigonal.

x | Computed, not measured: a geometry-optimized PmHfP2 structure at the PBE level of DFT.

The space group is P4/mmm (No. 123) and the conventional cell measures 4.946, 4.946 and 3.179 Å, with angles of 90.00, 90.00 and 90.00 degrees. Symmetry generates all atoms from Pm at (0.000, 0.000, 0.000), Hf at (0.500, 0.500, 0.000) and P at (0.000, 0.500, 0.500).

Its total moment is 0.00 μB/cell. The crystal system is tetragonal.

Of them, w has the highest stability.

w | Computed, not measured: a geometry-optimized PmHfP2 structure at the PBE level of DFT.

The space group is R-3m (No. 166, hexagonal axes) and the conventional cell measures 3.8765, 3.8765 and 19.3517 Å, with angles of 90.00, 90.00 and 120.00 degrees. Symmetry generates all atoms from Pm at (0.0000, 0.0000, 0.0000), Hf at (0.0000, 0.0000, 0.5000) and P at (0.0000, 0.0000, 0.2410).

Its total moment is 0.00 μB/cell. The crystal system is trigonal.

x | Computed, not measured: a geometry-optimized PmHfP2 structure at the PBE level of DFT.

The space group is Fm-3m (No. 225) and the conventional cell measures 6.774, 6.774 and 6.774 Å, with angles of 90.00, 90.00 and 90.00 degrees. Symmetry generates all atoms from Pm at (0.000, 0.000, 0.000), Hf at (0.000, 0.000, 0.500) and P at (0.250, 0.250, 0.250).

Its total moment is 0.00 μB/cell. The crystal system is cubic.

Of them, w has the highest stability.